Entry from the Alexandria database: CaBeP after structural relaxation (PBE).

Summary:
Symmetry ... F-43m, No. 216
Distance to the lowest polymorph of the same formula ... 703.5 meV per atom
Energy relative to the elements ... -0.21 eV/f.u.
Magnetization ... 0.0 Bohr magnetons per cell
Crystal system ... cubic
Volume ... 57 Å³/f.u.

Unit cell a=4.3111 b=4.3111 c=4.3111 alpha=60.00 beta=60.00 gamma=60.00
With the nearest neighbours (Å) after each atom.
Fractional coordinates of all 3 atoms:
P: 0.7500 0.7500 0.7500  4 Be 2.64, 4 Ca 2.64
Ca: 0.5000 0.5000 0.5000  4 P 2.64
Be: 0.0000 0.0000 0.0000  4 P 2.64